(1)
Density functional theory data (PBE) for a relaxed CsAs2OsSe crystal.

Cell lengths 4.802, 4.802, 5.796 Å; angles 90.00, 90.00, 90.00 degrees
Fractional positions:
Cs (0.000, 0.000, 0.000)
As (0.000, 0.500, 0.500)
As (0.500, 0.000, 0.500)
Os (0.500, 0.500, 0.500)
Se (0.500, 0.500, 0.000)

## Properties
distance to the lowest polymorph of the same formula: 0 kJ/mol of formula units
symmetry: P4/mmm (123)
formation energy without anion corrections: 0.199 eV per atom
total DFT energy (no corrections): -4.775 eV/atom


(2)
Density functional theory data (PBE) for a relaxed AlMo3As crystal.

Cell lengths 4.596, 4.596, 4.596 Å; angles 90.00, 90.00, 90.00 degrees
Fractional positions:
Al (0.000, 0.000, 0.000)
Mo (0.000, 0.500, 0.500)
Mo (0.500, 0.000, 0.500)
Mo (0.500, 0.500, 0.000)
As (0.500, 0.500, 0.500)

## Properties
distance to the lowest polymorph of the same formula: 0 kJ/mol of formula units
symmetry: Pm-3m (221)
total DFT energy (no corrections): -7.168 eV/atom
energy of formation: 487 kJ/mol of formula units


(3)
Density functional theory data (PBE) for a relaxed ScC2 crystal.

Cell lengths 3.601, 3.601, 12.190 Å; angles 90.00, 90.00, 120.00 degrees
Fractional positions:
Sc (0.000, 0.000, 0.000)
Sc (0.333, 0.667, 0.381)
Sc (0.667, 0.333, 0.619)
C (0.000, 0.000, 0.443)
C (0.000, 0.000, 0.557)
C (0.333, 0.667, 0.092)
C (0.333, 0.667, 0.195)
C (0.667, 0.333, 0.805)
C (0.667, 0.333, 0.908)

## Properties
symmetry: P-3m1 (164)
total DFT energy (no corrections): -8.042 eV/atom
energy of formation: 63 kJ/mol of formula units


(4)
Density functional theory data (PBE) for a relaxed AcPmGaSn crystal.

Cell lengths 7.813, 7.813, 7.813 Å; angles 90.00, 90.00, 90.00 degrees
Fractional positions:
Ac (0.000, 0.000, 0.000)
Ac (0.000, 0.500, 0.500)
Ac (0.500, 0.000, 0.500)
Ac (0.500, 0.500, 0.000)
Pm (0.000, 0.000, 0.500)
Pm (0.000, 0.500, 0.000)
Pm (0.500, 0.000, 0.000)
Pm (0.500, 0.500, 0.500)
Ga (0.250, 0.250, 0.250)
Ga (0.250, 0.750, 0.750)
Ga (0.750, 0.250, 0.750)
Ga (0.750, 0.750, 0.250)
Sn (0.250, 0.250, 0.750)
Sn (0.250, 0.750, 0.250)
Sn (0.750, 0.250, 0.250)
Sn (0.750, 0.750, 0.750)

## Properties
symmetry: F-43m (216)
total DFT energy (no corrections): -4.488 eV/atom
energy of formation: -199 kJ/mol of formula units


(5)
Density functional theory data (PBE) for a relaxed KBNF2 crystal.

Cell lengths 4.929, 4.929, 5.027 Å; angles 90.00, 90.00, 90.00 degrees
Fractional positions:
K (0.000, 0.000, 0.000)
B (0.500, 0.500, 0.500)
N (0.000, 0.000, 0.500)
F (0.000, 0.500, 0.000)
F (0.500, 0.000, 0.000)

## Properties
distance to the lowest polymorph of the same formula: 1053 kJ/mol of formula units
symmetry: P4/mmm (123)
formation energy without anion corrections: 0.968 eV per atom
total DFT energy (no corrections): -3.001 eV/atom


(6)
Density functional theory data (PBE) for a relaxed TaPb3 crystal.

Cell lengths 3.288, 3.288, 34.422 Å; angles 90.00, 90.00, 120.00 degrees
Fractional positions:
Ta (0.000, 0.000, 0.000)
Ta (0.333, 0.667, 0.667)
Ta (0.667, 0.333, 0.333)
Pb (0.000, 0.000, 0.261)
Pb (0.000, 0.000, 0.500)
Pb (0.000, 0.000, 0.739)
Pb (0.333, 0.667, 0.167)
Pb (0.333, 0.667, 0.406)
Pb (0.333, 0.667, 0.927)
Pb (0.667, 0.333, 0.073)
Pb (0.667, 0.333, 0.594)
Pb (0.667, 0.333, 0.833)

## Properties
symmetry: R-3m (166)
total DFT energy (no corrections): -5.366 eV/atom
energy of formation: 146 kJ/mol of formula units


(7)
Density functional theory data (PBE) for a relaxed Mg4PaPt2 crystal.

Cell lengths 4.333, 18.169, 3.638 Å; angles 90.00, 90.00, 90.00 degrees
Fractional positions:
Mg (0.000, 0.164, 0.000)
Mg (0.000, 0.314, 0.500)
Mg (0.000, 0.686, 0.500)
Mg (0.000, 0.836, 0.000)
Mg (0.500, 0.186, 0.500)
Mg (0.500, 0.336, 0.000)
Mg (0.500, 0.664, 0.000)
Mg (0.500, 0.814, 0.500)
Pa (0.000, 0.000, 0.500)
Pa (0.500, 0.500, 0.500)
Pt (0.000, 0.426, 0.000)
Pt (0.000, 0.574, 0.000)
Pt (0.500, 0.074, 0.000)
Pt (0.500, 0.926, 0.000)

## Properties
symmetry: Cmmm (65)
total DFT energy (no corrections): -4.455 eV/atom
energy of formation: -311 kJ/mol of formula units


(8)
Density functional theory data (PBE) for a relaxed Na2TaAuS4 crystal.

Cell lengths 8.251, 7.345, 7.053 Å; angles 90.00, 90.00, 90.00 degrees
Fractional positions:
Na (0.250, 0.228, 0.000)
Na (0.250, 0.772, 0.500)
Na (0.750, 0.228, 0.000)
Na (0.750, 0.772, 0.500)
Ta (0.000, 0.322, 0.482)
Ta (0.500, 0.678, 0.982)
Au (0.000, 0.778, 0.917)
Au (0.500, 0.222, 0.417)
S (0.000, 0.391, 0.794)
S (0.000, 0.585, 0.318)
S (0.224, 0.148, 0.395)
S (0.276, 0.852, 0.895)
S (0.500, 0.415, 0.818)
S (0.500, 0.609, 0.294)
S (0.724, 0.852, 0.895)
S (0.776, 0.148, 0.395)

## Properties
symmetry: Pmn2_1 (31)
formation energy without anion corrections: -0.837 eV per atom
total DFT energy (no corrections): -5.122 eV/atom


(9)
Density functional theory data (PBE) for a relaxed Tb3Nd8 crystal.

Cell lengths 7.658, 7.658, 7.658 Å; angles 105.42, 105.42, 105.42 degrees
Fractional positions:
Tb (0.000, 0.500, 0.500)
Tb (0.500, 0.000, 0.500)
Tb (0.500, 0.500, 0.000)
Nd (0.072, 0.176, 0.683)
Nd (0.176, 0.683, 0.072)
Nd (0.271, 0.271, 0.271)
Nd (0.317, 0.928, 0.824)
Nd (0.683, 0.072, 0.176)
Nd (0.729, 0.729, 0.729)
Nd (0.824, 0.317, 0.928)
Nd (0.928, 0.824, 0.317)

## Properties
distance to the lowest polymorph of the same formula: 0 kJ/mol of formula units
symmetry: R-3 (148)
total DFT energy (no corrections): -4.386 eV/atom
energy of formation: 366 kJ/mol of formula units


(10)
Density functional theory data (PBE) for a relaxed GeTe2Br8 crystal.

Cell lengths 8.586, 8.586, 7.639 Å; angles 109.39, 109.39, 62.61 degrees
Fractional positions:
Ge (0.000, 0.000, 0.000)
Te (0.138, 0.138, 0.554)
Te (0.862, 0.862, 0.446)
Br (0.162, 0.754, 0.236)
Br (0.206, 0.206, 0.283)
Br (0.246, 0.838, 0.764)
Br (0.305, 0.305, 0.820)
Br (0.695, 0.695, 0.180)
Br (0.754, 0.162, 0.236)
Br (0.794, 0.794, 0.717)
Br (0.838, 0.246, 0.764)

## Properties
symmetry: C2/m (12)
formation energy without anion corrections: -0.240 eV per atom
total DFT energy (no corrections): -2.448 eV/atom


(11)
Density functional theory data (PBE) for a relaxed Tm4S2N crystal.

Cell lengths 7.506, 10.540, 3.671 Å; angles 90.00, 90.00, 90.00 degrees
Fractional positions:
Tm (0.000, 0.226, 0.000)
Tm (0.000, 0.774, 0.000)
Tm (0.222, 0.000, 0.500)
Tm (0.278, 0.500, 0.500)
Tm (0.500, 0.274, 0.000)
Tm (0.500, 0.726, 0.000)
Tm (0.722, 0.500, 0.500)
Tm (0.778, 0.000, 0.500)
S (0.250, 0.250, 0.500)
S (0.250, 0.750, 0.500)
S (0.750, 0.250, 0.500)
S (0.750, 0.750, 0.500)
N (0.000, 0.000, 0.000)
N (0.500, 0.500, 0.000)

## Properties
symmetry: Cmmm (65)
formation energy without anion corrections: -1.550 eV per atom
total DFT energy (no corrections): -6.474 eV/atom


(12)
Density functional theory data (PBE) for a relaxed CsTlPRu crystal.

Cell lengths 4.187, 4.187, 14.161 Å; angles 90.00, 90.00, 90.00 degrees
Fractional positions:
Cs (0.250, 0.250, 0.229)
Cs (0.750, 0.750, 0.771)
Tl (0.250, 0.750, 0.500)
Tl (0.750, 0.250, 0.500)
P (0.250, 0.250, 0.925)
P (0.750, 0.750, 0.075)
Ru (0.250, 0.750, 0.000)
Ru (0.750, 0.250, 0.000)

## Properties
symmetry: P4/nmm (129)
total DFT energy (no corrections): -4.848 eV/atom
energy of formation: -143 kJ/mol of formula units